1.
# PBE LaZr2Sb, optimized geometry
data_LaZr2Sb
_chemical_formula_sum 'La1 Zr2 Sb1'
_cell_length_a 4.7517
_cell_length_b 4.7554
_cell_length_c 4.3460
_cell_angle_alpha 90.00
_cell_angle_beta 90.00
_cell_angle_gamma 90.00
_symmetry_space_group_name_H-M 'P 1'
_symmetry_Int_Tables_number 1
_symmetry_space_group_name_Hall 'P 1'
loop_
_atom_site_label
_atom_site_type_symbol
_atom_site_fract_x
_atom_site_fract_y
_atom_site_fract_z
_atom_site_occupancy
La1 La 0.5000 0.0000 0.5000 1
Sb1 Sb 0.0000 0.5000 0.5000 1
Zr1 Zr 0.0000 0.0000 0.0000 1
Zr2 Zr 0.5000 0.5000 0.0000 1
# Formation energy from raw total energies ... -1.30 eV per formula unit
# Uncorrected energy ... -27.45 eV per cell
# Volume ... 98.2 Å³/f.u.
# Total magnetization ... 0.00 μB per formula unit

***

2.
# PBE LaZrSb2, optimized geometry
data_LaZrSb2
_chemical_formula_sum 'La1 Zr1 Sb2'
_cell_length_a 3.2604
_cell_length_b 3.2604
_cell_length_c 11.0232
_cell_angle_alpha 90.00
_cell_angle_beta 90.00
_cell_angle_gamma 90.00
_symmetry_space_group_name_H-M 'P 1'
_symmetry_Int_Tables_number 1
_symmetry_space_group_name_Hall 'P 1'
loop_
_atom_site_label
_atom_site_type_symbol
_atom_site_fract_x
_atom_site_fract_y
_atom_site_fract_z
_atom_site_occupancy
La1 La 0.5000 0.5000 0.7533 1
Sb1 Sb 0.0000 0.0000 0.9759 1
Sb2 Sb 0.5000 0.5000 0.2886 1
Zr1 Zr 0.0000 0.0000 0.4821 1
# Energy above the most stable polymorph in this dataset ... 754 meV per atom
# Formation energy from raw total energies ... -0.69 eV per formula unit
# Uncorrected energy ... -22.41 eV per cell
# Volume ... 117.2 Å³/f.u.
# Total magnetization ... 0.00 μB per formula unit

***

3.
# PBE LaZr2Sb, optimized geometry
data_LaZr2Sb
_chemical_formula_sum 'La1 Zr2 Sb1'
_cell_length_a 5.2960
_cell_length_b 3.5299
_cell_length_c 5.6553
_cell_angle_alpha 85.16
_cell_angle_beta 90.00
_cell_angle_gamma 90.00
_symmetry_space_group_name_H-M 'P 1'
_symmetry_Int_Tables_number 1
_symmetry_space_group_name_Hall 'P 1'
loop_
_atom_site_label
_atom_site_type_symbol
_atom_site_fract_x
_atom_site_fract_y
_atom_site_fract_z
_atom_site_occupancy
La1 La 0.5000 0.2500 0.2500 1
Sb1 Sb 0.5000 0.7500 0.7500 1
Zr1 Zr 0.0000 0.9292 0.9873 1
Zr2 Zr 0.0000 0.5708 0.5127 1
# Formation energy from raw total energies ... -0.67 eV per formula unit
# Uncorrected energy ... -26.81 eV per cell
# Volume ... 105.3 Å³/f.u.
# Total magnetization ... 0.00 μB per formula unit

***

4.
# PBE LaZrSb2, optimized geometry
data_LaZrSb2
_chemical_formula_sum 'La1 Zr1 Sb2'
_cell_length_a 5.5581
_cell_length_b 3.4821
_cell_length_c 5.6676
_cell_angle_alpha 82.07
_cell_angle_beta 90.00
_cell_angle_gamma 90.00
_symmetry_space_group_name_H-M 'P 1'
_symmetry_Int_Tables_number 1
_symmetry_space_group_name_Hall 'P 1'
loop_
_atom_site_label
_atom_site_type_symbol
_atom_site_fract_x
_atom_site_fract_y
_atom_site_fract_z
_atom_site_occupancy
La1 La 0.5000 0.6762 0.8527 1
Sb1 Sb 0.0000 0.1368 0.9087 1
Sb2 Sb 0.5000 0.1776 0.3556 1
Zr1 Zr 0.0000 0.5094 0.3831 1
# Energy above the most stable polymorph in this dataset ... 289 meV per atom
# Formation energy from raw total energies ... -2.55 eV per formula unit
# Uncorrected energy ... -24.27 eV per cell
# Volume ... 108.6 Å³/f.u.
# Total magnetization ... 0.00 μB per formula unit